# Sc2NbAu PBE relaxed
data_Sc2NbAu
_chemical_formula_sum 'Sc8 Nb4 Au4'
_space_group_name_H-M_alt 'F -4 3 m'
_space_group_IT_number 216
_space_group_name_Hall 'F -4 2 3'
_cell_length_a 6.7523
_cell_length_b 6.7523
_cell_length_c 6.7523
_cell_angle_alpha 90.00
_cell_angle_beta 90.00
_cell_angle_gamma 90.00
loop_
_atom_site_label
_atom_site_type_symbol
_atom_site_fract_x
_atom_site_fract_y
_atom_site_fract_z
_atom_site_occupancy
Sc1 Sc 0.0000 0.0000 0.0000 1
Sc2 Sc 0.2500 0.2500 0.2500 1
Nb1 Nb 0.0000 0.0000 0.5000 1
Au1 Au 0.2500 0.2500 0.7500 1
# magnetization: 1.8 μB per formula unit
# ΔE_f: 12 meV/atom

---

# RbNaCuP PBE relaxed
data_RbNaCuP
_chemical_formula_sum 'Rb4 Na4 Cu4 P4'
_space_group_name_H-M_alt 'A m m 2'
_space_group_IT_number 38
_cell_length_a 5.5436
_cell_length_b 9.7330
_cell_length_c 7.5553
_cell_angle_alpha 90.00
_cell_angle_beta 90.00
_cell_angle_gamma 90.00
loop_
_space_group_symop_operation_xyz
'x,y,z'
'-x,-y,z'
'-x,y,z'
'x,-y,z'
'x,y+1/2,z+1/2'
'-x,-y+1/2,z+1/2'
'-x,y+1/2,z+1/2'
'x,-y+1/2,z+1/2'
loop_
_atom_site_label
_atom_site_type_symbol
_atom_site_fract_x
_atom_site_fract_y
_atom_site_fract_z
_atom_site_occupancy
Rb1 Rb 0.0000 0.1718 0.0000 1
Na1 Na 0.5000 0.1651 0.6896 1
Cu1 Cu 0.2467 0.0000 0.3780 1
P1 P 0.0000 0.0000 0.6154 1
P2 P 0.5000 0.0000 0.1482 1
# E above lowest polymorph: 44.2 meV/atom

---

# TlTe3IrAu PBE relaxed
data_TlTe3IrAu
_chemical_formula_sum 'Tl4 Te12 Ir4 Au4'
_space_group_name_H-M_alt 'C m c m'
_space_group_IT_number 63
_space_group_name_Hall '-C 2c 2'
_cell_length_a 3.9565
_cell_length_b 14.8770
_cell_length_c 11.1279
_cell_angle_alpha 90.00
_cell_angle_beta 90.00
_cell_angle_gamma 90.00
loop_
_atom_site_label
_atom_site_type_symbol
_atom_site_fract_x
_atom_site_fract_y
_atom_site_fract_z
_atom_site_occupancy
Tl1 Tl 0.0000 0.2205 0.2500 1
Te1 Te 0.0000 0.1196 0.5097 1
Te2 Te 0.0000 0.4758 0.7500 1
Ir1 Ir 0.0000 0.5000 0.0000 1
Au1 Au 0.0000 0.1305 0.7500 1
# uncorrected energy: -24.61 eV per formula unit
# magnetization: 0.0 μB per formula unit

---

# Gd3Co PBE relaxed
data_Gd3Co
_chemical_formula_sum 'Gd3 Co1'
_space_group_name_H-M_alt 'P m -3 m'
_space_group_IT_number 221
_space_group_name_Hall '-P 4 2 3'
_cell_length_a 4.6434
_cell_length_b 4.6434
_cell_length_c 4.6434
_cell_angle_alpha 90.00
_cell_angle_beta 90.00
_cell_angle_gamma 90.00
loop_
_atom_site_label
_atom_site_type_symbol
_atom_site_fract_x
_atom_site_fract_y
_atom_site_fract_z
_atom_site_occupancy
Gd1 Gd 0.0000 0.0000 0.5000 1
Co1 Co 0.5000 0.5000 0.5000 1
# magnetization: 0.1 μB per formula unit
# ΔE_f: 293 meV/atom

---

# ZrB4Os PBE relaxed
data_ZrB4Os
_chemical_formula_sum 'Zr2 B8 Os2'
_space_group_name_H-M_alt 'I m m m'
_space_group_IT_number 71
_space_group_name_Hall '-I 2 2'
_cell_length_a 3.1132
_cell_length_b 5.2745
_cell_length_c 6.9624
_cell_angle_alpha 90.00
_cell_angle_beta 90.00
_cell_angle_gamma 90.00
loop_
_atom_site_label
_atom_site_type_symbol
_atom_site_fract_x
_atom_site_fract_y
_atom_site_fract_z
_atom_site_occupancy
Zr1 Zr 0.0000 0.0000 0.0000 1
B1 B 0.0000 0.3294 0.2542 1
Os1 Os 0.0000 0.0000 0.5000 1
# E above lowest polymorph: 272.9 meV/atom
# magnetization: 0.0 μB per formula unit

---

# LiTaNbTc PBE relaxed
data_LiTaNbTc
_chemical_formula_sum 'Li4 Ta4 Nb4 Tc4'
_space_group_name_H-M_alt 'F -4 3 m'
_space_group_IT_number 216
_space_group_name_Hall 'F -4 2 3'
_cell_length_a 6.3298
_cell_length_b 6.3298
_cell_length_c 6.3298
_cell_angle_alpha 90.00
_cell_angle_beta 90.00
_cell_angle_gamma 90.00
loop_
_atom_site_label
_atom_site_type_symbol
_atom_site_fract_x
_atom_site_fract_y
_atom_site_fract_z
_atom_site_occupancy
Li1 Li 0.0000 0.0000 0.0000 1
Ta1 Ta 0.0000 0.0000 0.5000 1
Nb1 Nb 0.2500 0.2500 0.7500 1
Tc1 Tc 0.2500 0.2500 0.2500 1
# E above lowest polymorph: 204.3 meV/atom
# magnetization: 0.4 μB per formula unit

---

# KErAsO PBE relaxed
data_KErAsO
_chemical_formula_sum 'K2 Er2 As2 O2'
_space_group_name_H-M_alt 'P 4/n m m'
_space_group_IT_number 129
_cell_length_a 3.9950
_cell_length_b 3.9950
_cell_length_c 10.7996
_cell_angle_alpha 90.00
_cell_angle_beta 90.00
_cell_angle_gamma 90.00
loop_
_space_group_symop_operation_xyz
'x,y,z'
'-x,-y,-z'
'-y+1/2,x,z'
'y+1/2,-x,-z'
'-x+1/2,-y+1/2,z'
'x+1/2,y+1/2,-z'
'y,-x+1/2,z'
'-y,x+1/2,-z'
'x+1/2,-y,-z'
'-x+1/2,y,z'
'-y,-x,-z'
'y,x,z'
'-x,y+1/2,-z'
'x,-y+1/2,z'
'y+1/2,x+1/2,-z'
'-y+1/2,-x+1/2,z'
loop_
_atom_site_label
_atom_site_type_symbol
_atom_site_fract_x
_atom_site_fract_y
_atom_site_fract_z
_atom_site_occupancy
K1 K 0.2500 0.7500 0.0000 1
Er1 Er 0.2500 0.2500 0.4057 1
As1 As 0.2500 0.2500 0.7684 1
O1 O 0.2500 0.7500 0.5000 1
# E above lowest polymorph: 106.6 meV/atom
# magnetization: 0.0 μB per formula unit

---

# GaTc2H2 PBE relaxed
data_GaTc2H2
_chemical_formula_sum 'Ga2 Tc4 H4'
_space_group_name_H-M_alt 'I 4/m m m'
_space_group_IT_number 139
_space_group_name_Hall '-I 4 2'
_cell_length_a 3.0883
_cell_length_b 3.0883
_cell_length_c 10.2411
_cell_angle_alpha 90.00
_cell_angle_beta 90.00
_cell_angle_gamma 90.00
loop_
_atom_site_label
_atom_site_type_symbol
_atom_site_fract_x
_atom_site_fract_y
_atom_site_fract_z
_atom_site_occupancy
Ga1 Ga 0.0000 0.0000 0.0000 1
Tc1 Tc 0.0000 0.0000 0.3510 1
H1 H 0.0000 0.5000 0.2500 1
# uncorrected energy: -30.44 eV per formula unit
# magnetization: 0.0 μB per formula unit

---

# BaTmMo PBE relaxed
data_BaTmMo
_chemical_formula_sum 'Ba4 Tm4 Mo4'
_space_group_name_H-M_alt 'F -4 3 m'
_space_group_IT_number 216
_space_group_name_Hall 'F -4 2 3'
_cell_length_a 7.2253
_cell_length_b 7.2253
_cell_length_c 7.2253
_cell_angle_alpha 90.00
_cell_angle_beta 90.00
_cell_angle_gamma 90.00
loop_
_atom_site_label
_atom_site_type_symbol
_atom_site_fract_x
_atom_site_fract_y
_atom_site_fract_z
_atom_site_occupancy
Ba1 Ba 0.0000 0.0000 0.0000 1
Tm1 Tm 0.0000 0.0000 0.5000 1
Mo1 Mo 0.2500 0.2500 0.2500 1
# E above lowest polymorph: 0.0 meV/atom
# magnetization: 1.1 μB per formula unit

---

# TbGaPdPt PBE relaxed
data_TbGaPdPt
_chemical_formula_sum 'Tb2 Ga2 Pd2 Pt2'
_space_group_name_H-M_alt 'P -6 m 2'
_space_group_IT_number 187
_space_group_name_Hall 'P -6 2'
_cell_length_a 4.3977
_cell_length_b 4.3977
_cell_length_c 9.1285
_cell_angle_alpha 90.00
_cell_angle_beta 90.00
_cell_angle_gamma 120.00
loop_
_atom_site_label
_atom_site_type_symbol
_atom_site_fract_x
_atom_site_fract_y
_atom_site_fract_z
_atom_site_occupancy
Tb1 Tb 0.0000 0.0000 0.0000 1
Tb2 Tb 0.3333 0.6667 0.5000 1
Ga1 Ga 0.6667 0.3333 0.2460 1
Pd1 Pd 0.0000 0.0000 0.3352 1
Pt1 Pt 0.3333 0.6667 0.1719 1
# E above lowest polymorph: 7.1 meV/atom
# magnetization: 0.0 μB per formula unit

---

# ErZrCd2Au4 PBE relaxed
data_ErZrCd2Au4
_chemical_formula_sum 'Er1 Zr1 Cd2 Au4'
_space_group_name_H-M_alt 'P 4/m m m'
_space_group_IT_number 123
_space_group_name_Hall '-P 4 2'
_cell_length_a 4.8543
_cell_length_b 4.8543
_cell_length_c 6.8548
_cell_angle_alpha 90.00
_cell_angle_beta 90.00
_cell_angle_gamma 90.00
loop_
_atom_site_label
_atom_site_type_symbol
_atom_site_fract_x
_atom_site_fract_y
_atom_site_fract_z
_atom_site_occupancy
Er1 Er 0.0000 0.0000 0.0000 1
Zr1 Zr 0.5000 0.5000 0.5000 1
Cd1 Cd 0.0000 0.0000 0.5000 1
Cd2 Cd 0.5000 0.5000 0.0000 1
Au1 Au 0.0000 0.5000 0.2597 1
# magnetization: 0.0 μB per formula unit
# ΔE_f: -569 meV/atom

---

# SrSmSe2 PBE relaxed
data_SrSmSe2
_chemical_formula_sum 'Sr1 Sm1 Se2'
_space_group_name_H-M_alt 'P 4/m m m'
_space_group_IT_number 123
_space_group_name_Hall '-P 4 2'
_cell_length_a 4.2825
_cell_length_b 4.2825
_cell_length_c 6.0529
_cell_angle_alpha 90.00
_cell_angle_beta 90.00
_cell_angle_gamma 90.00
loop_
_atom_site_label
_atom_site_type_symbol
_atom_site_fract_x
_atom_site_fract_y
_atom_site_fract_z
_atom_site_occupancy
Sr1 Sr 0.0000 0.0000 0.0000 1
Sm1 Sm 0.5000 0.5000 0.5000 1
Se1 Se 0.0000 0.0000 0.5000 1
Se2 Se 0.5000 0.5000 0.0000 1
# uncorrected energy: -20.93 eV per formula unit
# magnetization: 0.0 μB per formula unit

---

# LiHfScOs PBE relaxed
data_LiHfScOs
_chemical_formula_sum 'Li4 Hf4 Sc4 Os4'
_space_group_name_H-M_alt 'F -4 3 m'
_space_group_IT_number 216
_space_group_name_Hall 'F -4 2 3'
_cell_length_a 6.5072
_cell_length_b 6.5072
_cell_length_c 6.5072
_cell_angle_alpha 90.00
_cell_angle_beta 90.00
_cell_angle_gamma 90.00
loop_
_atom_site_label
_atom_site_type_symbol
_atom_site_fract_x
_atom_site_fract_y
_atom_site_fract_z
_atom_site_occupancy
Li1 Li 0.0000 0.0000 0.0000 1
Hf1 Hf 0.2500 0.2500 0.2500 1
Sc1 Sc 0.2500 0.2500 0.7500 1
Os1 Os 0.0000 0.0000 0.5000 1
# uncorrected energy: -30.93 eV per formula unit
# magnetization: 0.0 μB per formula unit

---

# Y2ReSi2MoC PBE relaxed
data_Y2ReSi2MoC
_chemical_formula_sum 'Y4 Re2 Si4 Mo2 C2'
_space_group_name_H-M_alt 'C 1 m 1'
_space_group_IT_number 8
_cell_length_a 11.0643
_cell_length_b 3.8793
_cell_length_c 7.0684
_cell_angle_alpha 90.00
_cell_angle_beta 126.39
_cell_angle_gamma 90.00
loop_
_space_group_symop_operation_xyz
'x,y,z'
'x,-y,z'
'x+1/2,y+1/2,z'
'x+1/2,-y+1/2,z'
loop_
_atom_site_label
_atom_site_type_symbol
_atom_site_fract_x
_atom_site_fract_y
_atom_site_fract_z
_atom_site_occupancy
Y1 Y 0.0000 0.0000 0.0000 1
Y2 Y 0.1478 0.0000 0.5979 1
Re1 Re 0.3673 0.0000 0.2112 1
Si1 Si 0.2150 0.5000 0.9721 1
Si2 Si 0.4430 0.0000 0.6284 1
Mo1 Mo 0.2786 0.5000 0.3820 1
C1 C 0.0717 0.5000 0.2962 1
# uncorrected energy: -60.54 eV per formula unit
# magnetization: 0.0 μB per formula unit

---

# ZnCdSb4Pt2 PBE relaxed
data_ZnCdSb4Pt2
_chemical_formula_sum 'Zn2 Cd2 Sb8 Pt4'
_space_group_name_H-M_alt 'I -4'
_space_group_IT_number 82
_cell_length_a 6.1772
_cell_length_b 6.1772
_cell_length_c 12.3859
_cell_angle_alpha 90.00
_cell_angle_beta 90.00
_cell_angle_gamma 90.00
loop_
_space_group_symop_operation_xyz
'x,y,z'
'y,-x,-z'
'-x,-y,z'
'-y,x,-z'
'x+1/2,y+1/2,z+1/2'
'y+1/2,-x+1/2,-z+1/2'
'-x+1/2,-y+1/2,z+1/2'
'-y+1/2,x+1/2,-z+1/2'
loop_
_atom_site_label
_atom_site_type_symbol
_atom_site_fract_x
_atom_site_fract_y
_atom_site_fract_z
_atom_site_occupancy
Zn1 Zn 0.0000 0.0000 0.0000 1
Cd1 Cd 0.0000 0.5000 0.2500 1
Sb1 Sb 0.2205 0.2658 0.6170 1
Pt1 Pt 0.0000 0.0000 0.5000 1
Pt2 Pt 0.0000 0.5000 0.7500 1
# uncorrected energy: -30.82 eV per formula unit
# magnetization: 0.0 μB per formula unit

---

# CsTm2Te4C PBE relaxed
data_CsTm2Te4C
_chemical_formula_sum 'Cs1 Tm2 Te4 C1'
_space_group_name_H-M_alt 'P -6 m 2'
_space_group_IT_number 187
_space_group_name_Hall 'P -6 2'
_cell_length_a 4.2973
_cell_length_b 4.2973
_cell_length_c 16.1928
_cell_angle_alpha 90.00
_cell_angle_beta 90.00
_cell_angle_gamma 120.00
loop_
_atom_site_label
_atom_site_type_symbol
_atom_site_fract_x
_atom_site_fract_y
_atom_site_fract_z
_atom_site_occupancy
Cs1 Cs 0.0000 0.0000 0.0000 1
Tm1 Tm 0.3333 0.6667 0.2821 1
Te1 Te 0.0000 0.0000 0.3935 1
Te2 Te 0.6667 0.3333 0.1736 1
C1 C 0.6667 0.3333 0.5000 1
# uncorrected energy: -33.44 eV per formula unit
# magnetization: 1.0 μB per formula unit

---

# CsScAuSe3 PBE relaxed
data_CsScAuSe3
_chemical_formula_sum 'Cs4 Sc4 Au4 Se12'
_space_group_name_H-M_alt 'C m c m'
_space_group_IT_number 63
_space_group_name_Hall '-C 2c 2'
_cell_length_a 3.9349
_cell_length_b 16.3185
_cell_length_c 10.4025
_cell_angle_alpha 90.00
_cell_angle_beta 90.00
_cell_angle_gamma 90.00
loop_
_atom_site_label
_atom_site_type_symbol
_atom_site_fract_x
_atom_site_fract_y
_atom_site_fract_z
_atom_site_occupancy
Cs1 Cs 0.0000 0.2457 0.2500 1
Sc1 Sc 0.0000 0.0000 0.0000 1
Au1 Au 0.0000 0.4599 0.7500 1
Se1 Se 0.0000 0.0664 0.7500 1
Se2 Se 0.0000 0.3842 0.5349 1
# uncorrected energy: -27.07 eV per formula unit
# magnetization: 0.0 μB per formula unit

---

# HoNiSb PBE relaxed
data_HoNiSb
_chemical_formula_sum 'Ho4 Ni4 Sb4'
_space_group_name_H-M_alt 'F -4 3 m'
_space_group_IT_number 216
_space_group_name_Hall 'F -4 2 3'
_cell_length_a 6.3279
_cell_length_b 6.3279
_cell_length_c 6.3279
_cell_angle_alpha 90.00
_cell_angle_beta 90.00
_cell_angle_gamma 90.00
loop_
_atom_site_label
_atom_site_type_symbol
_atom_site_fract_x
_atom_site_fract_y
_atom_site_fract_z
_atom_site_occupancy
Ho1 Ho 0.0000 0.0000 0.0000 1
Ni1 Ni 0.2500 0.2500 0.7500 1
Sb1 Sb 0.0000 0.0000 0.5000 1
# uncorrected energy: -17.01 eV per formula unit
# magnetization: 0.0 μB per formula unit

---

# Ag6GeSO8 PBE relaxed
data_Ag6GeSO8
_chemical_formula_sum 'Ag24 Ge4 S4 O32'
_space_group_name_H-M_alt 'I 41/a m d'
_space_group_IT_number 141
_cell_length_a 7.0458
_cell_length_b 7.0458
_cell_length_c 18.1277
_cell_angle_alpha 90.00
_cell_angle_beta 90.00
_cell_angle_gamma 90.00
loop_
_space_group_symop_operation_xyz
'x,y,z'
'-x,-y,-z'
'-y+1/4,x+3/4,z+1/4'
'y+1/4,-x+3/4,-z+1/4'
'-x+1/2,-y,z+1/2'
'x+1/2,y,-z+1/2'
'y+1/4,-x+1/4,z+3/4'
'-y+1/4,x+1/4,-z+3/4'
'x,-y,-z'
'-x,y,z'
'-y+1/4,-x+1/4,-z+3/4'
'y+1/4,x+1/4,z+3/4'
'-x+1/2,y,-z+1/2'
'x+1/2,-y,z+1/2'
'y+1/4,x+3/4,-z+1/4'
'-y+1/4,-x+3/4,z+1/4'
'x+1/2,y+1/2,z+1/2'
'-x+1/2,-y+1/2,-z+1/2'
'-y+3/4,x+1/4,z+3/4'
'y+3/4,-x+1/4,-z+3/4'
'-x,-y+1/2,z'
'x,y+1/2,-z'
'y+3/4,-x+3/4,z+1/4'
'-y+3/4,x+3/4,-z+1/4'
'x+1/2,-y+1/2,-z+1/2'
'-x+1/2,y+1/2,z+1/2'
'-y+3/4,-x+3/4,-z+1/4'
'y+3/4,x+3/4,z+1/4'
'-x,y+1/2,-z'
'x,-y+1/2,z'
'y+3/4,x+1/4,-z+3/4'
'-y+3/4,-x+1/4,z+3/4'
loop_
_atom_site_label
_atom_site_type_symbol
_atom_site_fract_x
_atom_site_fract_y
_atom_site_fract_z
_atom_site_occupancy
Ag1 Ag 0.0000 0.2500 0.1066 1
Ag2 Ag 0.2090 0.0000 0.0000 1
Ge1 Ge 0.0000 0.2500 0.8750 1
S1 S 0.0000 0.2500 0.3750 1
O1 O 0.0000 0.0394 0.8209 1
O2 O 0.0000 0.0765 0.4223 1
# uncorrected energy: -77.11 eV per formula unit

---

# SrHfHg PBE relaxed
data_SrHfHg
_chemical_formula_sum 'Sr2 Hf2 Hg2'
_space_group_name_H-M_alt 'I 4 m m'
_space_group_IT_number 107
_space_group_name_Hall 'I 4 -2'
_cell_length_a 3.5591
_cell_length_b 3.5591
_cell_length_c 13.2572
_cell_angle_alpha 90.00
_cell_angle_beta 90.00
_cell_angle_gamma 90.00
loop_
_atom_site_label
_atom_site_type_symbol
_atom_site_fract_x
_atom_site_fract_y
_atom_site_fract_z
_atom_site_occupancy
Sr1 Sr 0.0000 0.0000 0.0000 1
Hf1 Hf 0.0000 0.0000 0.2993 1
Hg1 Hg 0.0000 0.0000 0.6837 1
# E above lowest polymorph: 261.5 meV/atom
# magnetization: 0.2 μB per formula unit

---

# Y5Te3Pt PBE relaxed
data_Y5Te3Pt
_chemical_formula_sum 'Y5 Te3 Pt1'
_space_group_name_H-M_alt 'P -6 2 m'
_space_group_IT_number 189
_space_group_name_Hall 'P -6 -2'
_cell_length_a 8.7201
_cell_length_b 8.7201
_cell_length_c 3.8457
_cell_angle_alpha 90.00
_cell_angle_beta 90.00
_cell_angle_gamma 120.00
loop_
_atom_site_label
_atom_site_type_symbol
_atom_site_fract_x
_atom_site_fract_y
_atom_site_fract_z
_atom_site_occupancy
Y1 Y 0.0000 0.2361 0.0000 1
Y2 Y 0.3333 0.6667 0.0000 1
Te1 Te 0.0000 0.5618 0.5000 1
Pt1 Pt 0.0000 0.0000 0.5000 1
# E above lowest polymorph: 0.0 meV/atom
# magnetization: 2.2 μB per formula unit

---

# MgHgSeO PBE relaxed
data_MgHgSeO
_chemical_formula_sum 'Mg2 Hg2 Se2 O2'
_space_group_name_H-M_alt 'P 4/n m m'
_space_group_IT_number 129
_cell_length_a 3.8770
_cell_length_b 3.8770
_cell_length_c 10.3838
_cell_angle_alpha 90.00
_cell_angle_beta 90.00
_cell_angle_gamma 90.00
loop_
_space_group_symop_operation_xyz
'x,y,z'
'-x,-y,-z'
'-y+1/2,x,z'
'y+1/2,-x,-z'
'-x+1/2,-y+1/2,z'
'x+1/2,y+1/2,-z'
'y,-x+1/2,z'
'-y,x+1/2,-z'
'x+1/2,-y,-z'
'-x+1/2,y,z'
'-y,-x,-z'
'y,x,z'
'-x,y+1/2,-z'
'x,-y+1/2,z'
'y+1/2,x+1/2,-z'
'-y+1/2,-x+1/2,z'
loop_
_atom_site_label
_atom_site_type_symbol
_atom_site_fract_x
_atom_site_fract_y
_atom_site_fract_z
_atom_site_occupancy
Mg1 Mg 0.2500 0.2500 0.1258 1
Hg1 Hg 0.2500 0.7500 0.5000 1
Se1 Se 0.2500 0.2500 0.7638 1
O1 O 0.2500 0.2500 0.9450 1
# E above lowest polymorph: 642.3 meV/atom